Record 1
An optimized crystal structure of UAlCoRu, computed with PBE.

a = 4.499 Å, b = 4.499 Å, c = 4.499 Å
α = 60.00°, β = 60.00°, γ = 60.00°
Each line ends with the local moment (μB).
Element x y z (fractional)
Ru  0.250  0.250  0.250  0.02
Al  0.000  0.000  0.000  0.00
U  0.500  0.500  0.500  1.72
Co  0.750  0.750  0.750  0.01

SG = F-43m, No. 216
Calculated volume = 64.38 Å³/f.u.
DOS(E_F) = 1.359 states/eV/atom
Energy of formation from the pure elements = -107 kJ/mol of formula units


Record 2
An optimized crystal structure of Zr3Si2Ni6, computed with PBE.

a = 7.361 Å, b = 7.361 Å, c = 7.361 Å
α = 109.47°, β = 109.47°, γ = 109.47°
Element x y z (fractional)
Ni  0.664  0.664  0.328
Ni  0.000  0.664  0.336
Ni  0.000  0.336  0.664
Ni  0.328  0.664  0.664
Ni  0.336  0.336  0.672
Ni  0.664  0.328  0.664
Ni  0.664  0.000  0.336
Ni  0.672  0.336  0.336
Ni  0.336  0.000  0.664
Ni  0.336  0.664  0.000
Ni  0.664  0.336  0.000
Ni  0.336  0.672  0.336
Si  0.000  0.500  0.000
Si  0.500  0.500  0.500
Si  0.000  0.000  0.500
Si  0.500  0.000  0.000
Zr  0.721  0.000  0.721
Zr  0.000  0.279  0.279
Zr  0.279  0.000  0.279
Zr  0.721  0.721  0.000
Zr  0.000  0.721  0.721
Zr  0.279  0.279  0.000

SG = Im-3m, No. 229
Calculated volume = 153.55 Å³/f.u.
DOS(E_F) = 0.858 states/eV/atom
Raw formation energy = -0.6793 eV/atom


Record 3
An optimized crystal structure of CrFeB2S, computed with PBE.

a = 3.642 Å, b = 4.642 Å, c = 3.642 Å
α = 90.00°, β = 90.00°, γ = 90.00°
Each line ends with the local moment (μB).
Element x y z (fractional)
B  0.500  0.000  0.000  -0.01
B  0.000  0.000  0.500  -0.01
S  0.000  0.500  0.000  0.03
Fe  0.000  0.000  0.000  0.18
Cr  0.500  0.500  0.500  -0.66

SG = P4/mmm, No. 123
Calculated volume = 61.58 Å³/f.u.
DOS(E_F) = 1.585 states/eV/atom
Raw formation energy = 1.0906 eV/atom


Record 4
An optimized crystal structure of Rb3Hf3CrSe8, computed with PBE.

a = 7.735 Å, b = 7.736 Å, c = 9.322 Å
α = 114.52°, β = 90.00°, γ = 119.99°
Each line ends with the local moment (μB).
Element x y z (fractional)
Hf  0.500  0.000  0.500  0.03
Hf  0.000  0.500  0.500  0.03
Hf  0.500  0.500  0.500  0.03
Se  0.269  0.539  0.309  0.00
Se  0.731  0.461  0.691  0.00
Se  0.227  0.453  0.683  -0.03
Se  0.226  0.957  0.683  -0.03
Se  0.731  0.957  0.683  -0.03
Se  0.269  0.043  0.317  -0.03
Se  0.773  0.547  0.317  -0.03
Se  0.774  0.043  0.317  -0.03
Rb  0.500  0.500  0.000  0.00
Rb  0.000  0.000  0.000  0.00
Rb  0.000  0.500  0.000  0.00
Cr  0.000  0.000  0.500  3.34

SG = R-3m, No. 166
Calculated volume = 424.01 Å³/f.u.
DOS(E_F) = 0.471 states/eV/atom
Raw formation energy = -1.1921 eV/atom


Record 5
An optimized crystal structure of DyThRu, computed with PBE.

a = 4.063 Å, b = 6.013 Å, c = 8.421 Å
α = 56.07°, β = 76.08°, γ = 90.01°
Element x y z (fractional)
Th  0.655  0.996  0.690
Th  0.345  0.004  0.310
Ru  0.734  0.657  0.533
Ru  0.266  0.343  0.467
Dy  0.911  0.618  0.177
Dy  0.089  0.382  0.823

SG = P-1, No. 2
ΔE to the lowest computed polymorph = 0.000 eV per atom
Calculated volume = 81.70 Å³/f.u.
DOS(E_F) = 1.024 states/eV/atom
Energy of formation from the pure elements = -97 kJ/mol of formula units


Record 6
An optimized crystal structure of Ac2ZnBr, computed with PBE.

a = 4.599 Å, b = 4.599 Å, c = 7.977 Å
α = 73.25°, β = 73.25°, γ = 60.00°
Element x y z (fractional)
Ac  0.255  0.255  0.234
Ac  0.745  0.745  0.766
Br  0.500  0.500  0.500
Zn  0.000  0.000  0.000

SG = R-3m, No. 166
ΔE to the lowest computed polymorph = 0.000 eV per atom
Calculated volume = 137.77 Å³/f.u.
DOS(E_F) = 1.012 states/eV/atom
Raw formation energy = -0.7013 eV/atom